KZnCd2 | PBE | relaxed

Cell: 6.7813 6.7813 6.7813 Å, 41.57 41.57 41.57°
Positions (direct):
Zn 0.7500 0.7500 0.7500
Cd 0.4436 0.4436 0.4436
Cd 0.0564 0.0564 0.0564
K 0.2500 0.2500 0.2500

Output
- Calculated density: 4.41 g/cm3
- M_tot: 0.00 μB/f.u.
- Energy relative to the elements: -0.09 eV/f.u.